This record from Alexandria via LeMat-Bulk describes crystalline PrHgBiRh at its relaxed geometry. The functional is PBE.

Cell: 5.147 5.147 5.147 Å, 60.00 60.00 60.00°
Element x y z (fractional)
1 Pr 0.000 0.000 0.000
2 Hg 0.750 0.750 0.750
3 Bi 0.500 0.500 0.500
4 Rh 0.250 0.250 0.250

Computed properties:
crystal system = cubic
VASP energy = -4.4188 eV per atom
energy of formation from the pure elements = -340 meV per atom